1.
Entry from Alexandria via LeMat-Bulk: an optimized crystal structure of Ni2HCl (PBE).

Relative energy among the computed polymorphs = 0.0 meV per atom
M_tot = 0.216 μB per atom

```
Ni2HCl
1.0
4.5348 0.0000 0.0000
0.0000 4.5348 0.0000
2.2674 2.2674 4.4895
Ni H Cl
4 2 2
direct
0.5195 0.1250 0.2500
0.2305 0.6250 0.2500
0.3750 0.4805 0.7500
0.8750 0.7695 0.7500
0.5000 0.5000 0.0000
0.2500 0.7500 0.5000
0.0000 0.0000 0.0000
0.7500 0.2500 0.5000
```

=====

2.
Entry from Alexandria via LeMat-Bulk: an optimized crystal structure of Y4HoAu5 (PBE).

E_form = -0.86 eV per atom
M_tot = 0.000 μB per atom

```
Y4HoAu5
1.0
-0.3439 2.7790 2.2227
-1.0378 -2.2143 2.6079
17.4090 -2.0170 5.2153
Y Ho Au
4 1 5
direct
0.0000 0.0000 0.1993
0.0000 0.0000 0.3998
0.0000 0.0000 0.6002
0.0000 0.0000 0.8007
0.0000 0.0000 0.0000
0.5000 0.5000 0.0980
0.5000 0.5000 0.2995
0.5000 0.5000 0.5000
0.5000 0.5000 0.7005
0.5000 0.5000 0.9020
```

=====

3.
Entry from Alexandria via LeMat-Bulk: an optimized crystal structure of SrIrSeN2 (PBE).

Relative energy among the computed polymorphs = 2174.8 meV per atom
Energy relative to the elements, uncorrected = 2.2867 eV per atom
M_tot = 0.905 μB per atom

```
SrIrSeN2
1.0
-1.6419 2.5256 -3.0850
-3.4279 0.8095 2.4871
2.9025 4.8465 2.4229
Sr Ir Se N
1 1 1 2
direct
0.0000 0.0000 0.0000
0.5000 0.5000 0.5000
0.0000 0.0000 0.5000
0.0000 0.5000 0.0000
0.5000 0.0000 0.0000
```

=====

4.
Entry from Alexandria via LeMat-Bulk: an optimized crystal structure of LaFe2W (PBE).

E_form = 0.83 eV per atom
Relative energy among the computed polymorphs = 582.7 meV per atom
M_tot = 0.945 μB per atom

```
LaFe2W
1.0
5.5259 -0.0706 0.0000
2.9963 4.6436 0.0000
-4.2611 -2.2865 2.6750
Fe La W
2 1 1
direct
0.0000 0.0000 0.0000
0.2500 0.7500 0.5000
0.5000 0.5000 0.0000
0.7500 0.2500 0.5000
```

=====

5.
Entry from Alexandria via LeMat-Bulk: an optimized crystal structure of KAg4Pd (PBE).

E_form = 0.10 eV per atom
Relative energy among the computed polymorphs = 0.0 meV per atom
M_tot = 0.000 μB per atom

```
KAg4Pd
1.0
4.0391 0.0000 0.0000
0.0000 8.0344 0.0000
0.0000 0.0000 8.6770
K Ag Pd
2 8 2
direct
0.0000 0.5893 0.7500
0.0000 0.4107 0.2500
0.0000 0.0000 0.5000
0.0000 0.0000 0.0000
0.5000 0.9565 0.7500
0.5000 0.0435 0.2500
0.5000 0.7495 0.0381
0.5000 0.2505 0.9619
0.5000 0.7495 0.4619
0.5000 0.2505 0.5381
0.0000 0.2087 0.7500
0.0000 0.7913 0.2500
```

=====

6.
Entry from Alexandria via LeMat-Bulk: an optimized crystal structure of KY2Ag (PBE).

E_form = 0.46 eV per atom
M_tot = 0.000 μB per atom

```
KY2Ag
1.0
6.4202 0.0015 0.0000
2.9500 5.7023 0.0000
-4.6851 -2.8519 3.3370
Ag K Y
1 1 2
direct
0.5000 0.5000 0.0000
0.7500 0.2500 0.5000
0.0000 0.0000 0.0000
0.2500 0.7500 0.5000
```

=====

7.
Entry from Alexandria via LeMat-Bulk: an optimized crystal structure of ZrTlP2 (PBE).

E_form = -0.51 eV per atom
Relative energy among the computed polymorphs = 0.0 meV per atom
M_tot = 0.000 μB per atom

```
ZrTlP2
1.0
-1.3077 3.2296 -0.6227
-3.2221 -1.1153 0.9823
-1.8843 0.6229 7.1873
P Tl Zr
2 1 1
direct
0.0000 0.0751 0.9265
0.0000 0.4249 0.5735
0.5000 0.2500 0.2500
0.5000 0.7500 0.7500
```

=====

8.
Entry from Alexandria via LeMat-Bulk: an optimized crystal structure of RbZnSeBr2 (PBE).

Relative energy among the computed polymorphs = 998.9 meV per atom
Energy relative to the elements, uncorrected = 0.2280 eV per atom
M_tot = 0.614 μB per atom

```
RbZnSeBr2
1.0
-5.5720 2.9620 -1.8301
0.9298 -2.0622 -6.1687
-3.4919 -5.7139 1.3838
Zn Se Br Rb
1 1 2 1
direct
0.5000 0.5000 0.5000
0.0000 0.0000 0.5000
0.0000 0.5000 0.0000
0.5000 0.0000 0.0000
0.0000 0.0000 0.0000
```